Model P:
## TbPm3Ho2 (PBE)

Data for an optimized crystal structure of TbPm3Ho2.

Geometry as CIF:
```
data_TbPm3Ho2
_chemical_formula_sum 'Tb2 Pm6 Ho4'
_symmetry_space_group_name_H-M 'P -1'
_symmetry_Int_Tables_number 2
_cell_length_a 7.237
_cell_length_b 7.245
_cell_length_c 8.937
_cell_angle_alpha 78.21
_cell_angle_beta 78.19
_cell_angle_gamma 60.07
loop_
_symmetry_equiv_pos_as_xyz
'x,y,z'
'-x,-y,-z'
loop_
_atom_site_label
_atom_site_fract_x
_atom_site_fract_y
_atom_site_fract_z
_atom_site_occupancy
Tb1 0.249 0.251 0.498 1
Pm1 0.249 0.751 0.497 1
Pm2 0.360 0.361 0.835 1
Pm3 0.361 0.861 0.834 1
Ho1 0.136 0.639 0.168 1
Ho2 0.137 0.140 0.166 1
```

---

Model Q:
## TbPm3Ho2 (PBE)

Data for an optimized crystal structure of TbPm3Ho2.

Geometry as CIF:
```
data_TbPm3Ho2
_chemical_formula_sum 'Tb4 Pm12 Ho8'
_symmetry_space_group_name_H-M 'C 1 2/c 1'
_symmetry_Int_Tables_number 15
_cell_length_a 17.617
_cell_length_b 7.188
_cell_length_c 6.213
_cell_angle_alpha 90.00
_cell_angle_beta 90.16
_cell_angle_gamma 90.00
loop_
_symmetry_equiv_pos_as_xyz
'x,y,z'
'-x,-y,-z'
'-x,y,-z+1/2'
'x,-y,z+1/2'
'x+1/2,y+1/2,z'
'-x+1/2,-y+1/2,-z'
'-x+1/2,y+1/2,-z+1/2'
'x+1/2,-y+1/2,z+1/2'
loop_
_atom_site_label
_atom_site_fract_x
_atom_site_fract_y
_atom_site_fract_z
_atom_site_occupancy
Tb1 0.000 0.125 0.250 1
Pm1 0.000 0.375 0.750 1
Pm2 0.167 0.125 0.917 1
Ho1 0.167 0.375 0.417 1
```

---

The structure with the most favorable energy is model P; the runner-up is 14 meV per atom above it.

---

Model P:
## Tb2Pm3Ho8 (PBE)

Data for an optimized crystal structure of Tb2Pm3Ho8.

Geometry as CIF:
```
data_Tb2Pm3Ho8
_chemical_formula_sum 'Tb4 Pm6 Ho16'
_symmetry_space_group_name_H-M 'C 1 2/m 1'
_symmetry_Int_Tables_number 12
_cell_length_a 14.640
_cell_length_b 9.136
_cell_length_c 6.918
_cell_angle_alpha 90.00
_cell_angle_beta 108.86
_cell_angle_gamma 90.00
loop_
_symmetry_equiv_pos_as_xyz
'x,y,z'
'-x,-y,-z'
'-x,y,-z'
'x,-y,z'
'x+1/2,y+1/2,z'
'-x+1/2,-y+1/2,-z'
'-x+1/2,y+1/2,-z'
'x+1/2,-y+1/2,z'
loop_
_atom_site_label
_atom_site_fract_x
_atom_site_fract_y
_atom_site_fract_z
_atom_site_occupancy
Tb1 0.216 0.000 0.423 1
Pm1 0.000 0.000 0.000 1
Pm2 0.000 0.176 0.500 1
Ho1 0.084 0.500 0.732 1
Ho2 0.119 0.319 0.177 1
Ho3 0.192 0.000 0.897 1
```

---

Model Q:
## Tb2Pm3Ho8 (PBE)

Data for an optimized crystal structure of Tb2Pm3Ho8.

Geometry as CIF:
```
data_Tb2Pm3Ho8
_chemical_formula_sum 'Tb4 Pm6 Ho16'
_symmetry_space_group_name_H-M 'C 1 2/m 1'
_symmetry_Int_Tables_number 12
_cell_length_a 20.125
_cell_length_b 7.675
_cell_length_c 5.616
_cell_angle_alpha 90.00
_cell_angle_beta 90.04
_cell_angle_gamma 90.00
loop_
_symmetry_equiv_pos_as_xyz
'x,y,z'
'-x,-y,-z'
'-x,y,-z'
'x,-y,z'
'x+1/2,y+1/2,z'
'-x+1/2,-y+1/2,-z'
'-x+1/2,y+1/2,-z'
'x+1/2,-y+1/2,z'
loop_
_atom_site_label
_atom_site_fract_x
_atom_site_fract_y
_atom_site_fract_z
_atom_site_occupancy
Tb1 0.241 0.000 0.499 1
Pm1 0.000 0.000 0.500 1
Pm2 0.000 0.291 0.000 1
Ho1 0.109 0.291 0.500 1
Ho2 0.134 0.000 0.000 1
Ho3 0.170 0.500 0.001 1
```

---

The structure with the most favorable energy is model P; the runner-up is 13 meV per atom above it.

---

Model P:
## Tb2PmHo3 (PBE)

Data for an optimized crystal structure of Tb2PmHo3.

Geometry as CIF:
```
data_Tb2PmHo3
_chemical_formula_sum 'Tb4 Pm2 Ho6'
_symmetry_space_group_name_H-M 'P -1'
_symmetry_Int_Tables_number 2
_cell_length_a 6.204
_cell_length_b 7.176
_cell_length_c 8.842
_cell_angle_alpha 101.70
_cell_angle_beta 96.68
_cell_angle_gamma 90.02
loop_
_symmetry_equiv_pos_as_xyz
'x,y,z'
'-x,-y,-z'
loop_
_atom_site_label
_atom_site_fract_x
_atom_site_fract_y
_atom_site_fract_z
_atom_site_occupancy
Tb1 0.138 0.208 0.335 1
Tb2 0.140 0.710 0.335 1
Pm1 0.250 0.375 0.000 1
Ho1 0.250 0.876 0.999 1
Ho2 0.361 0.542 0.665 1
Ho3 0.362 0.041 0.665 1
```

---

Model Q:
## Tb2PmHo3 (PBE)

Data for an optimized crystal structure of Tb2PmHo3.

Geometry as CIF:
```
data_Tb2PmHo3
_chemical_formula_sum 'Tb8 Pm4 Ho12'
_symmetry_space_group_name_H-M 'C m c 21'
_symmetry_Int_Tables_number 36
_cell_length_a 10.720
_cell_length_b 6.187
_cell_length_c 11.509
_cell_angle_alpha 90.00
_cell_angle_beta 90.00
_cell_angle_gamma 90.00
loop_
_symmetry_equiv_pos_as_xyz
'x,y,z'
'-x,-y,z+1/2'
'-x,y,z'
'x,-y,z+1/2'
'x+1/2,y+1/2,z'
'-x+1/2,-y+1/2,z+1/2'
'-x+1/2,y+1/2,z'
'x+1/2,-y+1/2,z+1/2'
loop_
_atom_site_label
_atom_site_fract_x
_atom_site_fract_y
_atom_site_fract_z
_atom_site_occupancy
Tb1 0.166 0.167 0.000 1
Pm1 0.000 0.334 0.500 1
Ho1 0.000 0.001 0.250 1
Ho2 0.167 0.499 0.750 1
```

---

The structure with the most favorable energy is model P; the runner-up is 10 meV per atom above it.

---

Model P:
## Tb7PmHo12 (PBE)

Data for an optimized crystal structure of Tb7PmHo12.

Geometry as CIF:
```
data_Tb7PmHo12
_chemical_formula_sum 'Tb21 Pm3 Ho36'
_symmetry_space_group_name_H-M 'R -3'
_symmetry_Int_Tables_number 148
_symmetry_space_group_name_Hall '-R 3'
_cell_length_a 12.7867
_cell_length_b 12.7867
_cell_length_c 13.5906
_cell_angle_alpha 90.00
_cell_angle_beta 90.00
_cell_angle_gamma 120.00
loop_
_atom_site_label
_atom_site_fract_x
_atom_site_fract_y
_atom_site_fract_z
_atom_site_occupancy
Tb1 0.0000 0.0000 0.0000 1
Tb2 0.0683 0.8667 0.3489 1
Pm1 0.0000 0.0000 0.5000 1
Ho1 0.0027 0.4364 0.7483 1
Ho2 0.0682 0.2000 0.8467 1
```

---

Model Q:
## Tb7PmHo12 (PBE)

Data for an optimized crystal structure of Tb7PmHo12.

Geometry as CIF:
```
data_Tb7PmHo12
_chemical_formula_sum 'Tb14 Pm2 Ho24'
_symmetry_space_group_name_H-M 'I m -3 m'
_symmetry_Int_Tables_number 229
_symmetry_space_group_name_Hall '-I 4 2 3'
_cell_length_a 11.216
_cell_length_b 11.216
_cell_length_c 11.216
_cell_angle_alpha 90.00
_cell_angle_beta 90.00
_cell_angle_gamma 90.00
loop_
_atom_site_label
_atom_site_fract_x
_atom_site_fract_y
_atom_site_fract_z
_atom_site_occupancy
Tb1 0.000 0.000 0.500 1
Tb2 0.250 0.250 0.250 1
Pm1 0.000 0.000 0.000 1
Ho1 0.000 0.253 0.253 1
```

---

The structure with the most favorable energy is model P; the runner-up is 402 meV per atom above it.

---

Model P:
## TbPm2Ho8 (PBE)

Data for an optimized crystal structure of TbPm2Ho8.

Geometry as CIF:
```
data_TbPm2Ho8
_chemical_formula_sum 'Tb2 Pm4 Ho16'
_symmetry_space_group_name_H-M 'I m m m'
_symmetry_Int_Tables_number 71
_symmetry_space_group_name_Hall '-I 2 2'
_cell_length_a 5.511
_cell_length_b 8.074
_cell_length_c 15.941
_cell_angle_alpha 90.00
_cell_angle_beta 90.00
_cell_angle_gamma 90.00
loop_
_atom_site_label
_atom_site_fract_x
_atom_site_fract_y
_atom_site_fract_z
_atom_site_occupancy
Tb1 0.000 0.000 0.000 1
Pm1 0.000 0.000 0.299 1
Ho1 0.000 0.208 0.500 1
Ho2 0.000 0.292 0.137 1
Ho3 0.000 0.500 0.340 1
```

---

Model Q:
## TbPm2Ho8 (PBE)

Data for an optimized crystal structure of TbPm2Ho8.

Geometry as CIF:
```
data_TbPm2Ho8
_chemical_formula_sum 'Tb2 Pm4 Ho16'
_symmetry_space_group_name_H-M 'C 1 2/m 1'
_symmetry_Int_Tables_number 12
_cell_length_a 18.099
_cell_length_b 5.018
_cell_length_c 7.941
_cell_angle_alpha 90.00
_cell_angle_beta 105.27
_cell_angle_gamma 90.00
loop_
_symmetry_equiv_pos_as_xyz
'x,y,z'
'-x,-y,-z'
'-x,y,-z'
'x,-y,z'
'x+1/2,y+1/2,z'
'-x+1/2,-y+1/2,-z'
'-x+1/2,y+1/2,-z'
'x+1/2,-y+1/2,z'
loop_
_atom_site_label
_atom_site_fract_x
_atom_site_fract_y
_atom_site_fract_z
_atom_site_occupancy
Tb1 0.000 0.000 0.000 1
Pm1 0.227 0.500 0.637 1
Ho1 0.045 0.500 0.728 1
Ho2 0.090 0.000 0.454 1
Ho3 0.135 0.500 0.179 1
Ho4 0.181 0.000 0.908 1
```

---

The structure with the most favorable energy is model Q; the runner-up is 96 meV per atom above it.

---

Model P:
## Tb3Pm3Ho (PBE)

Data for an optimized crystal structure of Tb3Pm3Ho.

Geometry as CIF:
```
data_Tb3Pm3Ho
_chemical_formula_sum 'Tb6 Pm6 Ho2'
_symmetry_space_group_name_H-M 'P 63/m'
_symmetry_Int_Tables_number 176
_symmetry_space_group_name_Hall '-P 6c'
_cell_length_a 9.6433
_cell_length_b 9.6433
_cell_length_c 5.7619
_cell_angle_alpha 90.00
_cell_angle_beta 90.00
_cell_angle_gamma 120.00
loop_
_atom_site_label
_atom_site_fract_x
_atom_site_fract_y
_atom_site_fract_z
_atom_site_occupancy
Tb1 0.0949 0.6171 0.2500 1
Pm1 0.0481 0.8067 0.7500 1
Ho1 0.3333 0.6667 0.7500 1
```

---

Model Q:
## Tb3Pm3Ho (PBE)

Data for an optimized crystal structure of Tb3Pm3Ho.

Geometry as CIF:
```
data_Tb3Pm3Ho
_chemical_formula_sum 'Tb18 Pm18 Ho6'
_symmetry_space_group_name_H-M 'R -3'
_symmetry_Int_Tables_number 148
_symmetry_space_group_name_Hall '-R 3'
_cell_length_a 6.2347
_cell_length_b 6.2347
_cell_length_c 43.1163
_cell_angle_alpha 90.00
_cell_angle_beta 90.00
_cell_angle_gamma 120.00
loop_
_atom_site_label
_atom_site_fract_x
_atom_site_fract_y
_atom_site_fract_z
_atom_site_occupancy
Tb1 0.9997 0.3332 0.1019 1
Pm1 0.0000 0.3312 0.6315 1
Ho1 0.0000 0.0000 0.1667 1
```

---

The structure with the most favorable energy is model P; the runner-up is 138 meV per atom above it.

---

Model P:
## TbPm4Ho (PBE)

Data for an optimized crystal structure of TbPm4Ho.

Geometry as CIF:
```
data_TbPm4Ho
_chemical_formula_sum 'Tb2 Pm8 Ho2'
_symmetry_space_group_name_H-M 'C 1 2/m 1'
_symmetry_Int_Tables_number 12
_cell_length_a 11.127
_cell_length_b 6.000
_cell_length_c 6.008
_cell_angle_alpha 90.00
_cell_angle_beta 90.09
_cell_angle_gamma 90.00
loop_
_symmetry_equiv_pos_as_xyz
'x,y,z'
'-x,-y,-z'
'-x,y,-z'
'x,-y,z'
'x+1/2,y+1/2,z'
'-x+1/2,-y+1/2,-z'
'-x+1/2,y+1/2,-z'
'x+1/2,-y+1/2,z'
loop_
_atom_site_label
_atom_site_fract_x
_atom_site_fract_y
_atom_site_fract_z
_atom_site_occupancy
Tb1 0.000 0.000 0.000 1
Pm1 0.162 0.000 0.486 1
Pm2 0.162 0.500 0.015 1
Ho1 0.000 0.500 0.500 1
```

---

Model Q:
## TbPm4Ho (PBE)

Data for an optimized crystal structure of TbPm4Ho.

Geometry as CIF:
```
data_TbPm4Ho
_chemical_formula_sum 'Tb4 Pm16 Ho4'
_symmetry_space_group_name_H-M 'F -4 3 m'
_symmetry_Int_Tables_number 216
_symmetry_space_group_name_Hall 'F -4 2 3'
_cell_length_a 9.404
_cell_length_b 9.404
_cell_length_c 9.404
_cell_angle_alpha 90.00
_cell_angle_beta 90.00
_cell_angle_gamma 90.00
loop_
_atom_site_label
_atom_site_fract_x
_atom_site_fract_y
_atom_site_fract_z
_atom_site_occupancy
Tb1 0.000 0.000 0.000 1
Pm1 0.125 0.125 0.625 1
Ho1 0.250 0.250 0.250 1
```

---

Model R:
## TbPm4Ho (PBE)

Data for an optimized crystal structure of TbPm4Ho.

Geometry as CIF:
```
data_TbPm4Ho
_chemical_formula_sum 'Tb4 Pm16 Ho4'
_symmetry_space_group_name_H-M 'I m m a'
_symmetry_Int_Tables_number 74
_symmetry_space_group_name_Hall '-I 2b 2'
_cell_length_a 5.826
_cell_length_b 22.531
_cell_length_c 6.155
_cell_angle_alpha 90.00
_cell_angle_beta 90.00
_cell_angle_gamma 90.00
loop_
_atom_site_label
_atom_site_fract_x
_atom_site_fract_y
_atom_site_fract_z
_atom_site_occupancy
Tb1 0.000 0.000 0.000 1
Pm1 0.000 0.087 0.445 1
Pm2 0.000 0.169 0.928 1
Ho1 0.000 0.250 0.422 1
```

---

The structure with the most favorable energy is model R; the runner-up is 41 meV per atom above it.

---

Model P:
## Tb5Pm4Ho (PBE)

Data for an optimized crystal structure of Tb5Pm4Ho.

Geometry as CIF:
```
data_Tb5Pm4Ho
_chemical_formula_sum 'Tb10 Pm8 Ho2'
_symmetry_space_group_name_H-M 'C 1 2/m 1'
_symmetry_Int_Tables_number 12
_cell_length_a 17.279
_cell_length_b 3.545
_cell_length_c 11.167
_cell_angle_alpha 90.00
_cell_angle_beta 90.07
_cell_angle_gamma 90.00
loop_
_symmetry_equiv_pos_as_xyz
'x,y,z'
'-x,-y,-z'
'-x,y,-z'
'x,-y,z'
'x+1/2,y+1/2,z'
'-x+1/2,-y+1/2,-z'
'-x+1/2,y+1/2,-z'
'x+1/2,-y+1/2,z'
loop_
_atom_site_label
_atom_site_fract_x
_atom_site_fract_y
_atom_site_fract_z
_atom_site_occupancy
Tb1 0.000 0.000 0.000 1
Tb2 0.173 0.500 0.552 1
Tb3 0.174 0.500 0.946 1
Pm1 0.030 0.500 0.749 1
Pm2 0.155 0.000 0.250 1
Ho1 0.000 0.000 0.500 1
```

---

Model Q:
## Tb5Pm4Ho (PBE)

Data for an optimized crystal structure of Tb5Pm4Ho.

Geometry as CIF:
```
data_Tb5Pm4Ho
_chemical_formula_sum 'Tb10 Pm8 Ho2'
_symmetry_space_group_name_H-M 'I 4 m m'
_symmetry_Int_Tables_number 107
_symmetry_space_group_name_Hall 'I 4 -2'
_cell_length_a 10.644
_cell_length_b 10.644
_cell_length_c 5.994
_cell_angle_alpha 90.00
_cell_angle_beta 90.00
_cell_angle_gamma 90.00
loop_
_atom_site_label
_atom_site_fract_x
_atom_site_fract_y
_atom_site_fract_z
_atom_site_occupancy
Tb1 0.000 0.000 0.000 1
Tb2 0.189 0.189 0.265 1
Pm1 0.000 0.324 0.759 1
Ho1 0.000 0.000 0.527 1
```

---

The structure with the most favorable energy is model P; the runner-up is 59 meV per atom above it.